# 1
# TbAlPb, optimized geometry, DFT PBE
data_TbAlPb
_space_group_name_H-M_alt 'I 4/m m m'
_space_group_IT_number 139
_space_group_name_Hall '-I 4 2'
_cell_length_a 4.472
_cell_length_b 4.472
_cell_length_c 15.137
_cell_angle_alpha 90.00
_cell_angle_beta 90.00
_cell_angle_gamma 90.00
loop_
_atom_site_label
_atom_site_type_symbol
_atom_site_fract_x
_atom_site_fract_y
_atom_site_fract_z
_atom_site_occupancy
Tb1 Tb 0.000 0.000 0.143 1
Al1 Al 0.000 0.500 0.000 1
Pb1 Pb 0.000 0.000 0.354 1
# Formation enthalpy at 0 K ... -0.354 eV/atom

=====

# 2
# Sc2OsSe, optimized geometry, DFT PBE
data_Sc2OsSe
_space_group_name_H-M_alt 'A m m 2'
_space_group_IT_number 38
_space_group_name_Hall 'A 2 -2'
_cell_length_a 4.336
_cell_length_b 3.411
_cell_length_c 9.991
_cell_angle_alpha 90.00
_cell_angle_beta 90.00
_cell_angle_gamma 90.00
loop_
_atom_site_label
_atom_site_type_symbol
_atom_site_fract_x
_atom_site_fract_y
_atom_site_fract_z
_atom_site_occupancy
Sc1 Sc 0.000 0.000 0.000 1
Sc2 Sc 0.500 0.000 0.286 1
Os1 Os 0.500 0.000 0.545 1
Se1 Se 0.000 0.000 0.725 1
# Electronic total energy ... -7.6576 eV per atom

=====

# 3
# SrNbAu, optimized geometry, DFT PBE
data_SrNbAu
_space_group_name_H-M_alt 'I m m m'
_space_group_IT_number 71
_space_group_name_Hall '-I 2 2'
_cell_length_a 3.551
_cell_length_b 4.490
_cell_length_c 19.094
_cell_angle_alpha 90.00
_cell_angle_beta 90.00
_cell_angle_gamma 90.00
loop_
_atom_site_label
_atom_site_type_symbol
_atom_site_fract_x
_atom_site_fract_y
_atom_site_fract_z
_atom_site_occupancy
Sr1 Sr 0.000 0.000 0.175 1
Nb1 Nb 0.000 0.500 0.000 1
Nb2 Nb 0.000 0.500 0.500 1
Au1 Au 0.000 0.000 0.384 1
# ΔE to the lowest computed polymorph ... 45 meV/atom
# Formation enthalpy at 0 K ... -0.090 eV/atom

=====

- Number 3 is which compound?
  SrNbAu

=====

- Which formula does entry 2 have?
  Sc2OsSe

=====

- Number 2 is which compound?
  Sc2OsSe